The following is a PBE calculation of crystalline PrEr2Th6 at its relaxed geometry, from the Alexandria database.

Summary:
As for the total energy: -6.182 eV per atom. The value obtained for the formation energy is 2.79 eV/f.u. As for the magnetic moment: 0.0 μB per formula unit. The space group is No. 12.

Lattice parameters (Å, degrees): 9.2277 7.0695 8.2361 115.42 45.70 90.00
With the nearest neighbours (Å) after each atom.
Positions (direct):
Pr (0.0000, 0.0000, 0.0000)  6 Th 3.13-3.29
Er (0.2863, 0.2949, 0.5899)  9 Th 3.66-4.04, 1 Er 3.91, 2 Pr 4.04
Er (0.7137, 0.7051, 0.4101)  9 Th 3.66-4.04, 1 Er 3.91, 2 Pr 4.04
Th (0.7964, 0.1650, 0.8516)  4 Th 3.20-3.38, 1 Pr 3.29
Th (0.6407, 0.3279, 0.6558)  1 Pr 3.13, 4 Th 3.20-3.29
Th (0.7964, 0.6866, 0.8516)  4 Th 3.20-3.38, 1 Pr 3.29
Th (0.2036, 0.8350, 0.1484)  4 Th 3.20-3.38, 1 Pr 3.29
Th (0.3593, 0.6721, 0.3442)  1 Pr 3.13, 4 Th 3.20-3.29
Th (0.2036, 0.3134, 0.1484)  4 Th 3.20-3.38, 1 Pr 3.29